# Pr4TeC PBE optimized geometry
data_Pr4TeC
_cell_length_a 8.548
_cell_length_b 8.548
_cell_length_c 6.633
_cell_angle_alpha 106.00
_cell_angle_beta 106.00
_cell_angle_gamma 118.03
_symmetry_space_group_name_H-M 'P 1'
_symmetry_Int_Tables_number 1
loop_
_symmetry_equiv_pos_as_xyz
'x,y,z'
loop_
_atom_site_label
_atom_site_fract_x
_atom_site_fract_y
_atom_site_fract_z
Pr1 0.067 0.661 0.849
Pr2 0.163 0.261 0.702
Pr3 0.261 0.163 0.202
Pr4 0.339 0.933 0.651
Pr5 0.661 0.067 0.349
Pr6 0.739 0.837 0.798
Pr7 0.837 0.739 0.298
Pr8 0.933 0.339 0.151
Te1 0.387 0.613 0.250
Te2 0.613 0.387 0.750
C1 0.068 0.932 0.750
C2 0.932 0.068 0.250
# electronic total energy = -68.4 eV per cell
# V = 30.11 Å³ per atom